1.
First-principles (GGA-PBE) data for a relaxed ThCdHg2 crystal, as listed in Alexandria.

Volume   26.08 Å³/atom
Offset from the most stable computed form   101.7 meV/atom
Crystal system   triclinic
ρ   11.9 g cm⁻³

Structure (CIF):
```
data_ThCdHg2
_chemical_formula_sum 'Th2 Cd2 Hg4'
_cell_length_a 3.387
_cell_length_b 6.352
_cell_length_c 9.864
_cell_angle_alpha 94.92
_cell_angle_beta 99.24
_cell_angle_gamma 90.95
_symmetry_space_group_name_H-M 'P -1'
_symmetry_Int_Tables_number 2
_symmetry_space_group_name_Hall '-P 1'
loop_
_atom_site_label
_atom_site_type_symbol
_atom_site_fract_x
_atom_site_fract_y
_atom_site_fract_z
Th1 Th 0.117 0.039 0.245
Cd1 Cd 0.370 0.463 0.742
Hg1 Hg 0.254 0.736 0.495
Hg2 Hg 0.491 0.748 0.000
```

2.
First-principles (GGA-PBE) data for a relaxed Tb4NdSm crystal, as listed in Alexandria.

Volume   32.74 Å³/atom
Offset from the most stable computed form   0.0 meV/atom
Crystal system   monoclinic
ρ   7.9 g cm⁻³

Structure (CIF):
```
data_Tb4NdSm
_chemical_formula_sum 'Tb8 Nd2 Sm2'
_cell_length_a 6.224
_cell_length_b 10.766
_cell_length_c 6.220
_cell_angle_alpha 90.00
_cell_angle_beta 109.49
_cell_angle_gamma 90.00
_symmetry_space_group_name_H-M 'C 1 2/m 1'
_symmetry_Int_Tables_number 12
_symmetry_space_group_name_Hall '-C 2y'
loop_
_atom_site_label
_atom_site_type_symbol
_atom_site_fract_x
_atom_site_fract_y
_atom_site_fract_z
Tb1 Tb 0.000 0.167 0.000
Tb2 Tb 0.000 0.333 0.500
Nd1 Nd 0.000 0.000 0.500
Sm1 Sm 0.000 0.500 0.000
```

3.
First-principles (GGA-PBE) data for a relaxed Dy2PuRu2 crystal, as listed in Alexandria.

Volume   23.14 Å³/atom
Offset from the most stable computed form   90.5 meV/atom
Crystal system   orthorhombic
ρ   11.1 g cm⁻³

Structure (CIF):
```
data_Dy2PuRu2
_chemical_formula_sum 'Dy8 Pu4 Ru8'
_cell_length_a 4.115
_cell_length_b 11.195
_cell_length_c 10.047
_cell_angle_alpha 90.00
_cell_angle_beta 90.00
_cell_angle_gamma 90.00
_symmetry_space_group_name_H-M 'C m c 21'
_symmetry_Int_Tables_number 36
_symmetry_space_group_name_Hall 'C 2c -2'
loop_
_atom_site_label
_atom_site_type_symbol
_atom_site_fract_x
_atom_site_fract_y
_atom_site_fract_z
Dy1 Dy 0.000 0.100 0.000
Dy2 Dy 0.000 0.344 0.198
Pu1 Pu 0.000 0.366 0.835
Ru1 Ru 0.000 0.012 0.254
Ru2 Ru 0.000 0.177 0.487
```

4.
First-principles (GGA-PBE) data for a relaxed K2GaAuBr6 crystal, as listed in Alexandria.

Volume   31.47 Å³/atom
Formation energy without anion corrections   -934.8 meV per atom
Crystal system   cubic
ρ   4.3 g cm⁻³

Structure (CIF):
```
data_K2GaAuBr6
_chemical_formula_sum 'K8 Ga4 Au4 Br24'
_cell_length_a 10.797
_cell_length_b 10.797
_cell_length_c 10.797
_cell_angle_alpha 90.00
_cell_angle_beta 90.00
_cell_angle_gamma 90.00
_symmetry_space_group_name_H-M 'F m -3 m'
_symmetry_Int_Tables_number 225
_symmetry_space_group_name_Hall '-F 4 2 3'
loop_
_atom_site_label
_atom_site_type_symbol
_atom_site_fract_x
_atom_site_fract_y
_atom_site_fract_z
K1 K 0.250 0.250 0.250
Ga1 Ga 0.000 0.000 0.000
Au1 Au 0.000 0.000 0.500
Br1 Br 0.000 0.000 0.243
```

Which of these has the highest ρ? ThCdHg2

Which value of ρ does entry 4 give? 4.3 g cm⁻³

Which formula does entry 4 have? K2GaAuBr6